[1]
Mg7TlHg3 | PBE-GGA | optimized geometry

Summary:
raw total energy: -1.386 eV/atom
formation energy from the elements: -73 meV per atom
size of the total moment: 0.00 μB/cell
DOS at the Fermi energy: 0.44 states/eV per atom

a b c (Å): 7.459 7.459 5.456
angles (deg): 111.41 111.41 90.26
Element x y z (fractional)
Mg 0.000 0.000 0.000
Mg 0.103 0.543 0.322
Mg 0.324 0.324 0.820
Mg 0.457 0.897 0.678
Mg 0.543 0.103 0.322
Mg 0.676 0.676 0.180
Mg 0.897 0.457 0.678
Tl 0.000 0.000 0.500
Hg 0.268 0.732 0.000
Hg 0.500 0.500 0.500
Hg 0.732 0.268 0.000

[2]
Mg2Tl2Hg7 | PBE-GGA | optimized geometry

Summary:
raw total energy: -0.954 eV/atom
energy relative to the lowest polymorph listed for this composition: 6 meV per atom
formation energy from the elements: -42 meV per atom
size of the total moment: 0.00 μB/cell
DOS at the Fermi energy: 0.34 states/eV per atom

a b c (Å): 7.519 7.519 5.843
angles (deg): 111.33 111.33 83.31
Element x y z (fractional)
Mg 0.216 0.216 0.481
Mg 0.784 0.784 0.519
Tl 0.324 0.676 0.500
Tl 0.676 0.324 0.500
Hg 0.071 0.572 0.822
Hg 0.092 0.092 0.827
Hg 0.428 0.929 0.178
Hg 0.500 0.500 0.000
Hg 0.572 0.071 0.822
Hg 0.908 0.908 0.173
Hg 0.929 0.428 0.178

[3]
Mg3Tl4Hg16 | PBE-GGA | optimized geometry

Summary:
raw total energy: -0.867 eV/atom
formation energy from the elements: -38 meV per atom
size of the total moment: 0.00 μB/cell
DOS at the Fermi energy: 0.37 states/eV per atom

a b c (Å): 7.077 7.077 12.486
angles (deg): 90.00 90.00 90.00
Element x y z (fractional)
Mg 0.000 0.000 0.000
Mg 0.000 0.500 0.500
Mg 0.500 0.000 0.500
Tl 0.000 0.500 0.189
Tl 0.000 0.500 0.811
Tl 0.500 0.000 0.189
Tl 0.500 0.000 0.811
Hg 0.000 0.000 0.227
Hg 0.000 0.000 0.773
Hg 0.256 0.256 0.375
Hg 0.256 0.256 0.625
Hg 0.256 0.744 0.375
Hg 0.256 0.744 0.625
Hg 0.282 0.282 0.000
Hg 0.282 0.718 0.000
Hg 0.500 0.500 0.205
Hg 0.500 0.500 0.795
Hg 0.718 0.282 0.000
Hg 0.718 0.718 0.000
Hg 0.744 0.256 0.375
Hg 0.744 0.256 0.625
Hg 0.744 0.744 0.375
Hg 0.744 0.744 0.625

[4]
Mg2Tl6Hg | PBE-GGA | optimized geometry

Summary:
raw total energy: -1.947 eV/atom
formation energy from the elements: 18 meV per atom
size of the total moment: 0.00 μB/cell
DOS at the Fermi energy: 0.48 states/eV per atom

a b c (Å): 3.460 3.460 24.671
angles (deg): 90.00 90.00 120.00
Element x y z (fractional)
Mg 0.000 0.000 0.164
Mg 0.000 0.000 0.836
Tl 0.000 0.000 0.383
Tl 0.000 0.000 0.617
Tl 0.667 0.333 0.063
Tl 0.667 0.333 0.266
Tl 0.667 0.333 0.734
Tl 0.667 0.333 0.937
Hg 0.667 0.333 0.500

[5]
Mg9TlHg2 | PBE-GGA | optimized geometry

Summary:
raw total energy: -1.551 eV/atom
formation energy from the elements: -108 meV per atom
size of the total moment: 0.00 μB/cell
DOS at the Fermi energy: 0.36 states/eV per atom

a b c (Å): 4.444 4.444 13.384
angles (deg): 90.00 90.00 90.00
Element x y z (fractional)
Mg 0.000 0.000 0.000
Mg 0.000 0.000 0.337
Mg 0.000 0.000 0.663
Mg 0.000 0.500 0.173
Mg 0.000 0.500 0.500
Mg 0.000 0.500 0.827
Mg 0.500 0.000 0.173
Mg 0.500 0.000 0.500
Mg 0.500 0.000 0.827
Tl 0.500 0.500 0.000
Hg 0.500 0.500 0.335
Hg 0.500 0.500 0.665

[6]
Mg6TlHg12 | PBE-GGA | optimized geometry

Summary:
raw total energy: -0.905 eV/atom
formation energy from the elements: -86 meV per atom
size of the total moment: 0.00 μB/cell
DOS at the Fermi energy: 0.39 states/eV per atom

a b c (Å): 8.260 8.260 8.260
angles (deg): 106.42 106.42 106.42
Element x y z (fractional)
Mg 0.294 0.294 0.703
Mg 0.294 0.703 0.294
Mg 0.297 0.706 0.706
Mg 0.703 0.294 0.294
Mg 0.706 0.297 0.706
Mg 0.706 0.706 0.297
Tl 0.000 0.000 0.000
Hg 0.114 0.500 0.886
Hg 0.114 0.886 0.500
Hg 0.126 0.374 0.374
Hg 0.374 0.126 0.374
Hg 0.374 0.374 0.126
Hg 0.500 0.114 0.886
Hg 0.500 0.886 0.114
Hg 0.626 0.626 0.874
Hg 0.626 0.874 0.626
Hg 0.874 0.626 0.626
Hg 0.886 0.114 0.500
Hg 0.886 0.500 0.114

[7]
Mg3TlHg4 | PBE-GGA | optimized geometry

Summary:
raw total energy: -1.176 eV/atom
formation energy from the elements: -131 meV per atom
size of the total moment: 0.00 μB/cell
DOS at the Fermi energy: 0.33 states/eV per atom

a b c (Å): 3.756 4.935 10.085
angles (deg): 90.00 90.00 90.00
Element x y z (fractional)
Mg 0.000 0.000 0.000
Mg 0.000 0.500 0.246
Mg 0.000 0.500 0.754
Tl 0.000 0.000 0.500
Hg 0.500 0.000 0.227
Hg 0.500 0.000 0.773
Hg 0.500 0.500 0.000
Hg 0.500 0.500 0.500

[8]
Mg7Tl4Hg | PBE-GGA | optimized geometry

Summary:
raw total energy: -1.711 eV/atom
energy relative to the lowest polymorph listed for this composition: 57 meV per atom
formation energy from the elements: 33 meV per atom
size of the total moment: 0.00 μB/cell
DOS at the Fermi energy: 0.40 states/eV per atom

a b c (Å): 7.152 7.152 10.874
angles (deg): 123.18 123.18 44.32
Element x y z (fractional)
Mg 0.000 0.000 0.000
Mg 0.140 0.140 0.555
Mg 0.287 0.287 0.109
Mg 0.424 0.424 0.682
Mg 0.576 0.576 0.318
Mg 0.713 0.713 0.891
Mg 0.860 0.860 0.445
Tl 0.079 0.079 0.778
Tl 0.224 0.224 0.336
Tl 0.776 0.776 0.664
Tl 0.921 0.921 0.222
Hg 0.500 0.500 0.000